Here is crystalline La2HoRu at its relaxed geometry from Alexandria. Energies are from PBE.

Calculated values
total moment	0.00	μB/f.u.
VASP energy	-5.778	eV/atom
energy of formation	0.150	eV/atom
SG	R-3m
crystal system	trigonal
E above lowest polymorph	398.1	meV/atom

POSCAR file:
```
La2HoRu
1.0
3.8123 0.0000 0.0000
1.9062 3.3016 0.0000
1.9062 1.1005 10.4338
Ru Ho La
1 1 2
direct
0.5000 0.5000 0.5000
0.0000 0.0000 0.0000
0.1112 0.1112 0.6664
0.8888 0.8888 0.3336
```

Here is crystalline LaHo3Ru at its relaxed geometry from Alexandria. Energies are from PBE.

Calculated values
total moment	0.01	μB/f.u.
VASP energy	-5.704	eV/atom
energy of formation	-0.117	eV/atom
SG	Pm-3m
crystal system	cubic

POSCAR file:
```
LaHo3Ru
1.0
5.4038 0.0000 0.0000
0.0000 5.4038 0.0000
0.0000 0.0000 5.4038
Ru Ho La
1 3 1
direct
0.0000 0.0000 0.0000
0.0000 0.5000 0.0000
0.0000 0.0000 0.5000
0.5000 0.0000 0.0000
0.5000 0.5000 0.5000
```

Here is crystalline La2HoRu at its relaxed geometry from Alexandria. Energies are from PBE.

Calculated values
total moment	0.00	μB/f.u.
VASP energy	-6.176	eV/atom
energy of formation	-0.248	eV/atom
SG	Pnma
crystal system	orthorhombic
E above lowest polymorph	0.0	meV/atom

POSCAR file:
```
La2HoRu
1.0
6.3673 0.0000 0.0000
0.0000 7.3759 0.0000
0.0000 0.0000 9.9132
La Ho Ru
8 4 4
direct
0.1711 0.6745 0.0676
0.3289 0.1745 0.4324
0.8289 0.3255 0.5676
0.6711 0.8255 0.9324
0.8289 0.3255 0.9324
0.6711 0.8255 0.5676
0.1711 0.6745 0.4324
0.3289 0.1745 0.0676
0.6527 0.5449 0.2500
0.8473 0.0449 0.2500
0.3473 0.4551 0.7500
0.1527 0.9551 0.7500
0.0556 0.3852 0.2500
0.4444 0.8852 0.2500
0.9444 0.6148 0.7500
0.5556 0.1148 0.7500
```

Here is crystalline LaHo5Ru6 at its relaxed geometry from Alexandria. Energies are from PBE.

Calculated values
total moment	0.00	μB/f.u.
VASP energy	-7.267	eV/atom
energy of formation	-0.311	eV/atom
SG	Immm
crystal system	orthorhombic

POSCAR file:
```
LaHo5Ru6
1.0
-1.5399 -0.1718 4.5674
-5.9628 -2.5553 -2.1065
6.3897 -5.3191 -0.5923
Ru Ho La
6 5 1
direct
0.1665 0.4160 0.3329
0.1665 0.9169 0.3329
0.5000 0.2492 0.0000
0.5000 0.7508 0.0000
0.8335 0.0831 0.6671
0.8335 0.5840 0.6671
0.3291 0.8291 0.6581
0.6660 0.6660 0.3319
0.0000 0.5000 0.0000
0.3340 0.3340 0.6681
0.6709 0.1709 0.3419
0.0000 0.0000 0.0000
```

Here is crystalline LaHo2Ru at its relaxed geometry from Alexandria. Energies are from PBE.

Calculated values
total moment	0.00	μB/f.u.
VASP energy	-6.143	eV/atom
energy of formation	-0.304	eV/atom
SG	Pnma
crystal system	orthorhombic
E above lowest polymorph	0.0	meV/atom

POSCAR file:
```
LaHo2Ru
1.0
-1.1676 6.1443 1.5843
-7.1335 -1.4364 0.3133
0.8420 -2.1922 9.1223
La Ho Ru
4 8 4
direct
0.6337 0.5498 0.2500
0.8663 0.0498 0.2500
0.3663 0.4502 0.7500
0.1337 0.9502 0.7500
0.1676 0.6732 0.0673
0.3324 0.1732 0.4327
0.8324 0.3268 0.5673
0.6676 0.8268 0.9327
0.8324 0.3268 0.9327
0.6676 0.8268 0.5673
0.1676 0.6732 0.4327
0.3324 0.1732 0.0673
0.0442 0.3762 0.2500
0.4558 0.8762 0.2500
0.9558 0.6238 0.7500
0.5442 0.1238 0.7500
```

Here is crystalline La2HoRu at its relaxed geometry from Alexandria. Energies are from PBE.

Calculated values
total moment	0.00	μB/f.u.
VASP energy	-6.140	eV/atom
energy of formation	-0.213	eV/atom
SG	Cmcm
crystal system	orthorhombic
E above lowest polymorph	35.9	meV/atom

POSCAR file:
```
La2HoRu
1.0
4.0673 -0.0009 0.0000
-2.0344 6.0958 0.0000
0.0000 0.0000 9.4638
La Ho Ru
4 2 2
direct
0.3599 0.7202 0.5702
0.6401 0.2798 0.4298
0.3599 0.7202 0.9298
0.6401 0.2798 0.0702
0.9147 0.8301 0.2500
0.0853 0.1699 0.7500
0.7434 0.4857 0.7500
0.2566 0.5143 0.2500
```

Here is crystalline LaHoRu4 at its relaxed geometry from Alexandria. Energies are from PBE.

Calculated values
total moment	0.00	μB/f.u.
VASP energy	-7.963	eV/atom
energy of formation	-0.195	eV/atom
SG	F-43m
crystal system	cubic

POSCAR file:
```
LaHoRu4
1.0
5.3951 0.0000 0.0000
2.6975 4.6723 0.0000
2.6975 1.5574 4.4051
Ru Ho La
4 1 1
direct
0.6254 0.6254 0.1238
0.6254 0.1238 0.6254
0.6254 0.6254 0.6254
0.1238 0.6254 0.6254
0.0000 0.0000 0.0000
0.2500 0.2500 0.2500
```

Here is crystalline La2HoU2Ru5 at its relaxed geometry from Alexandria. Energies are from PBE.

Calculated values
total moment	0.00	μB/f.u.
VASP energy	-8.571	eV/atom
energy of formation	-0.233	eV/atom
SG	P4/mbm
crystal system	tetragonal

POSCAR file:
```
La2HoU2Ru5
1.0
-1.9464 -1.1557 2.6911
-7.5312 -3.7276 -7.0478
5.1689 -9.6643 -0.4119
La Ho U Ru
4 2 4 10
direct
0.0000 0.6757 0.1757
0.0000 0.3243 0.8243
0.0000 0.1757 0.3243
0.0000 0.8243 0.6757
0.0000 0.0000 0.0000
0.0000 0.5000 0.5000
0.0000 0.1384 0.6384
0.0000 0.8616 0.3616
0.0000 0.6384 0.8616
0.0000 0.3616 0.1384
0.5000 0.2165 0.0489
0.5000 0.7835 0.9511
0.5000 0.0489 0.7835
0.5000 0.7165 0.4511
0.5000 0.9511 0.2165
0.5000 0.2835 0.5489
0.5000 0.5489 0.7165
0.5000 0.4511 0.2835
0.5000 0.5000 0.0000
0.5000 0.0000 0.5000
```

Here is crystalline LaHoZnRu at its relaxed geometry from Alexandria. Energies are from PBE.

Calculated values
total moment	0.00	μB/f.u.
VASP energy	-5.290	eV/atom
energy of formation	-0.276	eV/atom
SG	F-43m
crystal system	cubic

POSCAR file:
```
LaHoZnRu
1.0
-4.7106 -0.4030 -1.7257
-3.8435 -0.3386 3.2316
-3.2048 3.8469 0.5106
Ru Zn Ho La
1 1 1 1
direct
0.7500 0.7500 0.7500
0.2500 0.2500 0.2500
0.5000 0.5000 0.5000
0.0000 0.0000 0.0000
```

Here is crystalline LaHoS2 at its relaxed geometry from Alexandria. Energies are from PBE.

Calculated values
total moment	0.00	μB/f.u.
VASP energy	-6.457	eV/atom
raw formation energy	-2017	meV/atom
SG	R3m
crystal system	trigonal
E above lowest polymorph	63.3	meV/atom

POSCAR file:
```
LaHoS2
1.0
3.9365 0.0000 0.0000
1.9683 3.4091 0.0000
1.9683 1.1364 6.9643
La Ho S
1 1 2
direct
0.4947 0.4947 0.5158
0.6720 0.6720 0.9840
0.0754 0.0754 0.7739
0.2579 0.2579 0.2262
```

Here is crystalline LaHo2S3 at its relaxed geometry from Alexandria. Energies are from PBE.

Calculated values
total moment	0.00	μB/f.u.
VASP energy	-6.430	eV/atom
raw formation energy	-2019	meV/atom
SG	Immm
crystal system	orthorhombic

POSCAR file:
```
LaHo2S3
1.0
-1.1192 3.3176 1.8192
-4.7205 0.1103 -3.1054
0.0988 -4.9540 4.8163
La Ho S
1 2 3
direct
0.0000 0.5000 0.0000
0.6620 0.1620 0.3239
0.3380 0.8380 0.6761
0.3208 0.3208 0.6415
0.0000 0.0000 0.0000
0.6792 0.6792 0.3585
```

Here is crystalline La2HoS3 at its relaxed geometry from Alexandria. Energies are from PBE.

Calculated values
total moment	0.00	μB/f.u.
VASP energy	-6.572	eV/atom
raw formation energy	-2103	meV/atom
SG	C2/m
crystal system	monoclinic

POSCAR file:
```
La2HoS3
1.0
-6.1058 3.3998 -0.7419
2.9796 -3.1385 -5.5373
-2.2517 -5.7104 3.5197
La Ho S
4 2 6
direct
0.8333 0.1667 0.5000
0.3333 0.6667 0.0000
0.1709 0.8291 0.5000
0.4958 0.5042 0.5000
0.0005 0.9995 0.0000
0.6662 0.3338 0.0000
0.6025 0.9359 0.7687
0.0641 0.3975 0.2313
0.9087 0.5880 0.7641
0.2547 0.2420 0.7641
0.4120 0.0913 0.2359
0.7580 0.7453 0.2359
```

Here is crystalline LaHo2S at its relaxed geometry from Alexandria. Energies are from PBE.

Calculated values
total moment	0.01	μB/f.u.
VASP energy	-5.334	eV/atom
raw formation energy	-781	meV/atom
SG	R-3m
crystal system	trigonal

POSCAR file:
```
LaHo2S
1.0
3.6514 0.0000 0.0000
1.8257 3.1622 0.0000
1.8257 1.0541 10.2477
S Ho La
1 2 1
direct
0.5000 0.5000 0.5000
0.1133 0.1133 0.6600
0.8867 0.8867 0.3400
0.0000 0.0000 0.0000
```

Here is crystalline LaHo3S6 at its relaxed geometry from Alexandria. Energies are from PBE.

Calculated values
total moment	0.00	μB/f.u.
VASP energy	-6.470	eV/atom
raw formation energy	-2128	meV/atom
SG	P2_1/m
crystal system	monoclinic

POSCAR file:
```
LaHo3S6
1.0
-1.3480 0.4895 -3.7436
6.1682 -8.5903 -3.3442
-6.1390 -9.5083 0.9674
La Ho S
2 6 12
direct
0.7500 0.5505 0.8051
0.2500 0.4495 0.1949
0.7500 0.1791 0.9991
0.2500 0.8209 0.0009
0.7500 0.9442 0.6668
0.2500 0.0558 0.3332
0.7500 0.6608 0.4120
0.2500 0.3392 0.5880
0.7500 0.9780 0.8892
0.2500 0.0220 0.1108
0.7500 0.3024 0.7489
0.2500 0.6976 0.2511
0.7500 0.8937 0.4428
0.2500 0.1063 0.5572
0.7500 0.4174 0.4078
0.2500 0.5826 0.5922
0.7500 0.2314 0.2295
0.2500 0.7686 0.7705
0.7500 0.6203 0.0370
0.2500 0.3797 0.9630
```

Here is crystalline La3HoS6 at its relaxed geometry from Alexandria. Energies are from PBE.

Calculated values
total moment	0.00	μB/f.u.
VASP energy	-6.575	eV/atom
raw formation energy	-2162	meV/atom
SG	R-3
crystal system	trigonal
E above lowest polymorph	0.0	meV/atom

POSCAR file:
```
La3HoS6
1.0
-1.8344 -3.5364 7.3310
-6.2631 -4.0086 -3.7840
5.3724 -6.1001 -1.8815
La Ho S
6 2 12
direct
0.4321 0.9245 0.7494
0.9245 0.7494 0.4321
0.2506 0.5679 0.0755
0.7494 0.4321 0.9245
0.0755 0.2506 0.5679
0.5679 0.0755 0.2506
0.0000 0.0000 0.0000
0.5000 0.5000 0.5000
0.3079 0.9149 0.0737
0.0851 0.9263 0.6921
0.5889 0.8098 0.4601
0.9263 0.6921 0.0851
0.4601 0.5889 0.8098
0.1902 0.5399 0.4111
0.8098 0.4601 0.5889
0.5399 0.4111 0.1902
0.0737 0.3079 0.9149
0.4111 0.1902 0.5399
0.9149 0.0737 0.3079
0.6921 0.0851 0.9263
```

Here is crystalline La3HoS6 at its relaxed geometry from Alexandria. Energies are from PBE.

Calculated values
total moment	0.00	μB/f.u.
VASP energy	-6.501	eV/atom
raw formation energy	-2089	meV/atom
SG	P2_1/m
crystal system	monoclinic
E above lowest polymorph	73.4	meV/atom

POSCAR file:
```
La3HoS6
1.0
-3.1216 2.3974 -1.3052
0.9005 -4.4675 -10.3595
-7.6378 -6.6870 5.9839
La Ho S
6 2 12
direct
0.7500 0.4186 0.8300
0.2500 0.5814 0.1700
0.7500 0.6846 0.5091
0.2500 0.3154 0.4909
0.7500 0.1613 0.0832
0.2500 0.8387 0.9168
0.7500 0.0405 0.6774
0.2500 0.9595 0.3226
0.7500 0.4735 0.6120
0.2500 0.5265 0.3880
0.7500 0.9126 0.0972
0.2500 0.0874 0.9028
0.7500 0.4103 0.0729
0.2500 0.5897 0.9271
0.7500 0.7604 0.2872
0.2500 0.2396 0.7128
0.7500 0.1017 0.4585
0.2500 0.8983 0.5415
0.7500 0.8247 0.7497
0.2500 0.1753 0.2503
```

Here is crystalline LaHo4S6 at its relaxed geometry from Alexandria. Energies are from PBE.

Calculated values
total moment	0.00	μB/f.u.
VASP energy	-6.441	eV/atom
raw formation energy	-2077	meV/atom
SG	Cmcm
crystal system	orthorhombic

POSCAR file:
```
LaHo4S6
1.0
-1.0751 1.9955 -3.1669
-5.6323 -2.0874 2.9914
-0.5075 16.6690 10.6758
La Ho S
2 8 12
direct
0.6557 0.3115 0.2500
0.3443 0.6885 0.7500
0.8612 0.7224 0.5397
0.4067 0.8134 0.1255
0.1388 0.2776 0.4603
0.5933 0.1866 0.8745
0.8612 0.7224 0.9603
0.1388 0.2776 0.0397
0.5933 0.1866 0.6255
0.4067 0.8134 0.3745
0.5000 0.0000 0.0000
0.5000 0.0000 0.5000
0.0446 0.0892 0.3362
0.9554 0.9108 0.6638
0.9554 0.9108 0.8362
0.0446 0.0892 0.1638
0.7673 0.5347 0.4111
0.2327 0.4653 0.5889
0.2327 0.4653 0.9111
0.7673 0.5347 0.0889
0.3190 0.6380 0.2500
0.6810 0.3620 0.7500
```

Here is crystalline La3Ho4S8 at its relaxed geometry from Alexandria. Energies are from PBE.

Calculated values
total moment	0.00	μB/f.u.
VASP energy	-6.476	eV/atom
raw formation energy	-2069	meV/atom
SG	C2/m
crystal system	monoclinic

POSCAR file:
```
La3Ho4S8
1.0
-4.0924 4.0050 5.5311
6.1447 -4.6660 2.2050
4.8192 3.9775 -5.0344
La Ho S
3 4 8
direct
0.5000 0.5000 0.0000
0.5000 0.0000 0.5000
0.5000 0.5000 0.5000
0.5000 0.0000 0.0000
0.0000 0.5000 0.0000
0.0000 0.0000 0.0000
0.0000 0.0000 0.5000
0.4836 0.2343 0.2343
0.0000 0.7565 0.2435
0.9865 0.2384 0.2384
0.5000 0.7573 0.2427
0.5000 0.2427 0.7573
0.0135 0.7616 0.7616
0.0000 0.2435 0.7565
0.5164 0.7657 0.7657
```

Here is crystalline La4Ho3S8 at its relaxed geometry from Alexandria. Energies are from PBE.

Calculated values
total moment	0.00	μB/f.u.
VASP energy	-6.488	eV/atom
raw formation energy	-2057	meV/atom
SG	C2/m
crystal system	monoclinic

POSCAR file:
```
La4Ho3S8
1.0
8.1053 -0.1192 -0.1713
-3.9568 7.0345 0.1194
-3.9568 -2.3300 6.6384
La Ho S
4 3 8
direct
0.5000 0.0000 0.0000
0.0000 0.5000 0.0000
0.0000 0.0000 0.0000
0.0000 0.0000 0.5000
0.5000 0.5000 0.0000
0.5000 0.0000 0.5000
0.5000 0.5000 0.5000
0.5093 0.2618 0.2618
0.0000 0.7459 0.2541
0.0161 0.2610 0.2610
0.5000 0.7428 0.2572
0.5000 0.2572 0.7428
0.9839 0.7390 0.7390
0.0000 0.2541 0.7459
0.4907 0.7382 0.7382
```

Here is crystalline La2HoS4 at its relaxed geometry from Alexandria. Energies are from PBE.

Calculated values
total moment	0.00	μB/f.u.
VASP energy	-6.481	eV/atom
raw formation energy	-2061	meV/atom
SG	Cmcm
crystal system	orthorhombic

POSCAR file:
```
La2HoS4
1.0
-1.5040 -2.1067 2.9049
5.9001 -3.4662 -2.0647
7.2930 7.0984 8.9239
La Ho S
4 2 8
direct
0.1294 0.2588 0.4260
0.8706 0.7412 0.9260
0.1294 0.2588 0.0740
0.8706 0.7412 0.5740
0.6282 0.2565 0.7500
0.3718 0.7435 0.2500
0.7814 0.5627 0.1270
0.7814 0.5627 0.3730
0.2186 0.4373 0.8730
0.2186 0.4373 0.6270
0.9866 0.9732 0.7500
0.0134 0.0268 0.2500
0.5000 0.0000 0.0000
0.5000 0.0000 0.5000
```